DFT (GGA-PBE) results for Li3U3GaS8 after structural relaxation.

Results
- calculated volume (A^3/atom) = 21.4
- magnetization (μB/f.u.) = 7.291

```
15
Lattice="7.7876 0.0000 0.0000 -3.8938 6.7436 -0.0237 0.0000 -4.4764 6.1229" Properties=species:S:1:pos:R:3 pbc="T T T"
S 1.8643 -1.1670 1.6172
Li -1.9469 3.3718 -0.0118
U 3.8938 -2.2382 3.0615
S 0.0000 2.2520 1.4664
U 1.9469 1.1336 3.0496
Li 0.0000 0.0000 0.0000
S 3.8938 2.3473 1.6047
S 2.0295 3.4342 4.4820
S 3.8938 0.0152 4.6329
Ga 0.0000 -2.2382 3.0615
S -2.0295 3.4342 4.4820
U -1.9469 1.1336 3.0496
Li 1.9469 3.3718 -0.0118
S 0.0000 -0.0801 4.4945
S 5.9233 -1.1670 1.6172
```



DFT (GGA-PBE) results for BeSb2 after structural relaxation.

Results
- calculated volume (A^3/atom) = 24.0
- magnetization (μB/f.u.) = 0.000

```
6
Lattice="-1.1178 11.8248 4.4328 -5.5699 11.0417 2.7896 2.7028 -12.2997 -1.4614" Properties=species:S:1:pos:R:3 pbc="T T T"
Sb -2.9557 10.1059 3.1920
Sb -3.7320 12.7605 4.0304
Be -0.8794 5.4791 3.2913
Sb -2.7173 3.7603 2.0505
Be 0.0000 0.0000 0.0000
Sb -3.4936 6.4149 2.8890
```



Energy relative to the elements, uncorrected values, unit eV/atom, following the record order: -1.21, 0.42.